(1)
VASP calculation (PBE) on a relaxed structure of Ti2V4Tc.

Cell: 2.689 6.726 6.716 Å, 62.71 79.07 97.31°
Element x y z (fractional)
Ti 0.358 0.846 0.726
Ti 0.642 0.154 0.274
V 0.432 0.421 0.854
V 0.568 0.579 0.146
V 0.979 0.706 0.431
V 0.021 0.294 0.569
Tc 0.000 0.000 0.000

Summary:
final energy	-8.946	eV per atom
relative energy among the computed polymorphs	0.0	meV per atom
energy of formation	0.01	eV/f.u.
space group	P-1, No. 2


(2)
VASP calculation (PBE) on a relaxed structure of TiV2Tc2.

Cell: 4.184 5.512 6.770 Å, 104.72 108.00 90.00°
Element x y z (fractional)
Ti 0.000 0.250 0.000
Ti 0.000 0.750 0.000
Tc 0.394 0.848 0.788
Tc 0.606 0.152 0.212
Tc 0.394 0.348 0.788
Tc 0.606 0.652 0.212
V 0.200 0.559 0.400
V 0.200 0.059 0.400
V 0.800 0.941 0.600
V 0.800 0.441 0.600

Summary:
final energy	-9.674	eV per atom
relative energy among the computed polymorphs	0.0	meV per atom
energy of formation	-1.50	eV/f.u.
space group	C2/m, No. 12


(3)
VASP calculation (PBE) on a relaxed structure of Ti2V2Tc.

Cell: 3.625 3.625 6.524 Å, 73.87 73.87 90.00°
Element x y z (fractional)
V 0.418 0.418 0.165
V 0.582 0.582 0.835
Ti 0.750 0.250 0.500
Ti 0.250 0.750 0.500
Tc 0.000 0.000 0.000

Summary:
final energy	-8.331	eV per atom
relative energy among the computed polymorphs	751.9	meV per atom
energy of formation	2.74	eV/f.u.
space group	I4/mmm, No. 139


(4)
VASP calculation (PBE) on a relaxed structure of Ti2VTc.

Cell: 4.426 4.426 4.426 Å, 60.00 60.00 60.00°
Site moments in Bohr magnetons follow the coordinates.
Element x y z (fractional)
Ti 0.750 0.750 0.750  0.21
Ti 0.250 0.250 0.250  0.21
V 0.000 0.000 0.000  1.62
Tc 0.500 0.500 0.500  -0.06

Summary:
final energy	-9.029	eV per atom
relative energy among the computed polymorphs	0.0	meV per atom
energy of formation	-0.84	eV/f.u.
space group	Fm-3m, No. 225


(5)
VASP calculation (PBE) on a relaxed structure of Ti2V6Tc.

Cell: 2.595 7.686 7.844 Å, 119.33 74.38 90.00°
Element x y z (fractional)
V 0.500 0.330 0.000
V 0.011 0.336 0.334
V 0.989 0.664 0.666
V 0.500 0.670 0.000
V 0.011 0.998 0.334
V 0.989 0.002 0.666
Ti 0.676 0.666 0.332
Ti 0.324 0.334 0.668
Tc 0.000 0.000 0.000

Summary:
final energy	-8.916	eV per atom
energy of formation	0.62	eV/f.u.
space group	C2/m, No. 12


(6)
VASP calculation (PBE) on a relaxed structure of Ti2V4Tc.

Cell: 2.498 4.587 9.242 Å, 104.37 90.00 90.00°
Element x y z (fractional)
V 0.500 0.930 0.860
V 0.000 0.787 0.575
V 0.000 0.213 0.425
V 0.500 0.070 0.140
Tc 0.000 0.500 0.000
Ti 0.500 0.645 0.290
Ti 0.500 0.355 0.710

Summary:
final energy	-8.832	eV per atom
relative energy among the computed polymorphs	114.1	meV per atom
energy of formation	0.81	eV/f.u.
space group	Cmmm, No. 65


(7)
VASP calculation (PBE) on a relaxed structure of Ti6VTc5.

Cell: 4.396 6.231 6.958 Å, 90.00 108.42 90.00°
Site moments in Bohr magnetons follow the coordinates.
Element x y z (fractional)
Ti 0.831 0.748 0.662  0.09
Ti 0.500 0.744 0.000  0.11
Ti 0.169 0.252 0.338  0.09
Ti 0.500 0.256 0.000  0.11
Ti 0.831 0.252 0.662  0.09
Ti 0.169 0.748 0.338  0.09
Tc 0.000 0.500 0.000  -0.06
Tc 0.663 0.000 0.325  -0.10
Tc 0.337 0.000 0.675  -0.10
Tc 0.667 0.500 0.334  -0.10
Tc 0.333 0.500 0.666  -0.10
V 0.000 0.000 0.000  1.54

Summary:
final energy	-9.440	eV per atom
energy of formation	-4.96	eV/f.u.
space group	Cmmm, No. 65


(8)
VASP calculation (PBE) on a relaxed structure of Ti2VTc3.

Cell: 3.071 3.071 9.281 Å, 90.00 90.00 90.00°
Element x y z (fractional)
Ti 0.500 0.500 0.832
Ti 0.500 0.500 0.168
Tc 0.000 0.000 0.660
Tc 0.000 0.000 0.340
Tc 0.000 0.000 0.000
V 0.500 0.500 0.500

Summary:
final energy	-9.799	eV per atom
energy of formation	-2.78	eV/f.u.
space group	P4/mmm, No. 123